{
  "formula": "MgIn2Cl2",
  "functional": "PBE",
  "state": "optimized geometry",
  "lattice": [[-3.222, 3.222, 3.859], [3.222, -3.222, 3.859], [3.222, 3.222, -3.859]],
  "species": ["Mg", "In", "In", "Cl", "Cl"],
  "fractional_positions": [[0.000, 0.000, 0.000], [0.250, 0.750, 0.500], [0.750, 0.250, 0.500], [0.298, 0.298, 0.000], [0.702, 0.702, 0.000]],
  "e_above_lowest_polymorph_mev_per_atom": 263,
  "e_form_raw_ev_per_atom": -0.46,
  "sg": "I4/mmm"
}